No. 1
Ac6Sn5H | PBE-GGA | optimized geometry

Geometry as CIF:
```
data_Ac6Sn5H
_space_group_name_H-M_alt 'C 1 2/m 1'
_space_group_IT_number 12
_cell_length_a 8.344
_cell_length_b 14.504
_cell_length_c 7.963
_cell_angle_alpha 90.00
_cell_angle_beta 110.49
_cell_angle_gamma 90.00
loop_
_space_group_symop_operation_xyz
'x,y,z'
'-x,-y,-z'
'-x,y,-z'
'x,-y,z'
'x+1/2,y+1/2,z'
'-x+1/2,-y+1/2,-z'
'-x+1/2,y+1/2,-z'
'x+1/2,-y+1/2,z'
loop_
_atom_site_label
_atom_site_fract_x
_atom_site_fract_y
_atom_site_fract_z
Ac1 0.240 0.000 0.256
Ac2 0.246 0.162 0.749
Sn1 0.000 0.168 0.000
Sn2 0.000 0.333 0.500
Sn3 0.000 0.500 0.000
H1 0.000 0.000 0.500
```

* electronic total energy: -4.468 eV per atom


No. 2
PmSm4Dy | PBE-GGA | optimized geometry

Geometry as CIF:
```
data_PmSm4Dy
_space_group_name_H-M_alt 'C m c m'
_space_group_IT_number 63
_space_group_name_Hall '-C 2c 2'
_cell_length_a 7.019
_cell_length_b 11.995
_cell_length_c 9.730
_cell_angle_alpha 90.00
_cell_angle_beta 90.00
_cell_angle_gamma 90.00
loop_
_atom_site_label
_atom_site_fract_x
_atom_site_fract_y
_atom_site_fract_z
Pm1 0.000 0.184 0.250
Sm1 0.000 0.325 0.573
Sm2 0.221 0.419 0.250
Dy1 0.000 0.000 0.000
```

* relative energy among the computed polymorphs: 223.6 meV/atom
* ΔH_f (0 K): 5.5 kcal/mol of atoms


No. 3
PmTlCuIr | PBE-GGA | optimized geometry

Geometry as CIF:
```
data_PmTlCuIr
_space_group_name_H-M_alt 'F -4 3 m'
_space_group_IT_number 216
_space_group_name_Hall 'F -4 2 3'
_cell_length_a 6.864
_cell_length_b 6.864
_cell_length_c 6.864
_cell_angle_alpha 90.00
_cell_angle_beta 90.00
_cell_angle_gamma 90.00
loop_
_atom_site_label
_atom_site_fract_x
_atom_site_fract_y
_atom_site_fract_z
Pm1 0.000 0.000 0.000
Tl1 0.000 0.000 0.500
Cu1 0.250 0.250 0.250
Ir1 0.250 0.250 0.750
```

* ΔH_f (0 K): -2.4 kcal/mol of atoms


No. 4
CaGa2Pt2 | PBE-GGA | optimized geometry

Geometry as CIF:
```
data_CaGa2Pt2
_space_group_name_H-M_alt 'I 4/m m m'
_space_group_IT_number 139
_space_group_name_Hall '-I 4 2'
_cell_length_a 4.170
_cell_length_b 4.170
_cell_length_c 11.249
_cell_angle_alpha 90.00
_cell_angle_beta 90.00
_cell_angle_gamma 90.00
loop_
_atom_site_label
_atom_site_fract_x
_atom_site_fract_y
_atom_site_fract_z
Ca1 0.000 0.000 0.000
Ga1 0.000 0.500 0.250
Pt1 0.000 0.000 0.381
```

* ΔH_f (0 K): -19.4 kcal/mol of atoms


Let's list M_tot in order: 0.0 0.0 0.0 0.0 μB per formula unit.
Let's list calculated volume in order: 37.61 34.13 20.22 19.56 Å³ per atom.